# 1
A relaxed structure of ScMn2Al2, computed with PBE.

## Properties
E_tot in eV/cell: -32.57
Total moment in μB/f.u.: 4.6

Geometry as POSCAR:
```
ScMn2Al2
1.0
-0.5722 -0.6850 3.6763
-2.7358 -2.4589 -0.8840
2.2475 -5.8450 1.2072
Sc Mn Al
1 2 2
Cartesian
0.0000 0.0000 0.0000 Sc
-1.0712 -4.9379 0.8597 Mn
0.0106 -4.0510 3.1399 Mn
-0.7943 -2.5135 1.3545 Al
-0.2663 -6.4753 2.6450 Al
```

# 2
A relaxed structure of ScMnAl4, computed with PBE.

## Properties
E_tot in eV/cell: -31.25
Total moment in μB/f.u.: 2.9

Geometry as POSCAR:
```
ScMnAl4
1.0
0.0000 3.7111 3.7111
3.7111 0.0000 3.7111
3.7111 3.7111 0.0000
Al Mn Sc
4 1 1
Cartesian
2.7818 2.7818 4.6404 Al
2.7818 4.6404 2.7818 Al
4.6404 2.7818 2.7818 Al
4.6404 4.6404 4.6404 Al
1.8555 1.8555 1.8555 Mn
0.0000 0.0000 0.0000 Sc
```

# 3
A relaxed structure of Sc2MnAl2, computed with PBE.

## Properties
E_tot in eV/cell: -59.21
Total moment in μB/f.u.: 0.0

Geometry as POSCAR:
```
Sc2MnAl2
1.0
6.7000 0.0000 0.0000
0.0000 6.7000 0.0000
0.0000 0.0000 4.0669
Al Sc Mn
4 4 2
Cartesian
0.9223 2.4277 0.0000 Al
2.4277 5.7777 0.0000 Al
4.2723 0.9223 0.0000 Al
5.7777 4.2723 0.0000 Al
1.1621 4.5121 2.0334 Sc
5.5380 2.1880 2.0334 Sc
4.5121 5.5380 2.0334 Sc
2.1880 1.1621 2.0334 Sc
3.3500 3.3500 0.0000 Mn
0.0000 0.0000 0.0000 Mn
```

# 4
A relaxed structure of Sc2Mn3Al, computed with PBE.

## Properties
E_tot in eV/cell: -45.17
Total moment in μB/f.u.: 0.0

Geometry as POSCAR:
```
Sc2Mn3Al
1.0
4.3359 -0.1283 -2.2688
-2.7591 4.0381 -0.2139
-0.0849 0.2144 5.1044
Mn Sc Al
3 2 1
Cartesian
0.7460 2.0621 1.3109 Mn
-0.0424 0.1072 2.5522 Mn
2.1255 0.0431 1.4178 Mn
-0.7517 2.6505 3.6966 Sc
2.2437 1.4737 -1.0749 Sc
0.0000 0.0000 0.0000 Al
```

# 5
A relaxed structure of Sc3Mn8Al, computed with PBE.

## Properties
E_tot in eV/cell: -97.66
Total moment in μB/f.u.: 1.9

Geometry as POSCAR:
```
Sc3Mn8Al
1.0
4.6402 0.0000 1.4007
2.1087 4.1334 1.4007
-0.0292 -0.0179 8.4827
Mn Sc Al
8 3 1
Cartesian
2.9412 1.8013 2.8632 Mn
4.0086 3.8651 7.7181 Mn
1.2556 0.7690 4.2265 Mn
5.2646 1.8144 7.7181 Mn
6.3108 3.8651 8.4131 Mn
4.6125 2.8249 9.8785 Mn
3.9886 3.8546 3.5591 Mn
5.2461 1.8013 3.5591 Mn
3.3672 2.0623 5.6176 Sc
6.7358 4.1254 2.8445 Sc
2.5073 1.5356 8.4663 Sc
5.8970 3.6117 5.6232 Al
```

# 6
A relaxed structure of ScMnAl, computed with PBE.

## Properties
E_tot in eV/cell: -40.31
Total moment in μB/f.u.: 2.0

Geometry as POSCAR:
```
ScMnAl
1.0
4.5357 -0.0179 -2.5213
-2.9812 4.2457 -0.1283
0.0118 0.0179 5.1893
Sc Al Mn
2 2 2
Cartesian
0.7759 3.7308 -1.3225 Sc
0.7904 0.5149 3.8622 Sc
0.7832 2.1228 1.2699 Al
-1.4906 2.1228 -0.0642 Al
-1.4847 2.1318 2.5305 Mn
2.2737 0.0000 1.3340 Mn
```

# 7
A relaxed structure of ScMn5Al, computed with PBE.

## Properties
E_tot in eV/cell: -226.97
Total moment in μB/f.u.: 2.1

Geometry as POSCAR:
```
ScMn5Al
1.0
4.6873 0.0000 0.0000
0.0000 7.9429 0.0000
0.0000 0.0000 10.0523
Mn Sc Al
20 4 4
Cartesian
2.4268 7.3730 3.1549 Mn
1.1718 4.6368 0.3189 Mn
3.5155 2.4320 7.5515 Mn
3.5155 7.2775 5.3451 Mn
3.5155 6.4034 7.5269 Mn
1.1718 3.5941 3.9960 Mn
3.5155 3.3061 9.7333 Mn
1.1718 7.5655 1.0302 Mn
2.4268 3.4015 1.8712 Mn
4.6042 7.3730 3.1549 Mn
1.1718 5.5109 2.5008 Mn
2.2605 4.5413 8.1810 Mn
2.2605 0.5699 6.8974 Mn
3.5155 0.3774 9.0221 Mn
1.1718 0.6653 4.7072 Mn
3.5155 4.3488 6.0563 Mn
0.0831 0.5699 6.8974 Mn
1.1718 1.5394 2.5254 Mn
0.0831 4.5413 8.1810 Mn
4.6042 3.4015 1.8712 Mn
1.1718 1.9184 9.4094 Sc
3.5155 6.0245 0.6428 Sc
3.5155 2.0530 4.3833 Sc
1.1718 5.8898 5.6690 Sc
1.1718 2.9073 6.4435 Al
3.5155 1.0641 1.4174 Al
3.5155 5.0356 3.6087 Al
1.1718 6.8787 8.6349 Al
```

# 8
A relaxed structure of ScMnAl2, computed with PBE.

## Properties
E_tot in eV/cell: -23.46
Total moment in μB/f.u.: 2.3

Geometry as POSCAR:
```
ScMnAl2
1.0
4.4877 0.0000 0.0000
2.2438 3.8864 0.0000
2.2438 1.2955 3.6642
Al Sc Mn
2 1 1
Cartesian
2.2438 1.2955 0.9160 Al
0.0000 0.0000 0.0000 Al
6.7315 3.8864 2.7481 Sc
4.4877 2.5909 1.8321 Mn
```

| no. | E_form (eV/atom) |
| --- | --- |
| 1 | -0.0835 |
| 2 | -0.1305 |
| 3 | -0.0573 |
| 4 | -0.2093 |
| 5 | -0.1305 |
| 6 | -0.3030 |
| 7 | -0.1172 |
| 8 | -0.1188 |